(1)
A plane-wave DFT calculation with GGA-PBE was carried out for a relaxed structure of Zn3Tc4.

abc: 3.010 3.010 22.486
angles: 90.00 90.00 90.00
Space group I4/mmm (No. 139)
Symmetry-distinct sites (fractional):
Zn1 0.000 0.000 0.000 (multiplicity 2)
Zn2 0.000 0.000 0.285 (multiplicity 4)
Tc1 0.000 0.000 0.137 (multiplicity 4)
Tc2 0.000 0.000 0.426 (multiplicity 4)

Properties
Density ... 9586 kg/m3
Final energy ... -6.499 eV per atom
DOS(E_F) ... 6.4 states/eV per cell
E above lowest polymorph ... 0 meV/atom
ΔH_f (0 K) ... -29.9 meV per atom

=====

(2)
A plane-wave DFT calculation with GGA-PBE was carried out for a relaxed structure of TbTh2Ru2.

abc: 12.741 3.862 11.176
angles: 90.00 117.00 90.00
Space group C2/m (No. 12)
Symmetry-distinct sites (fractional):
Tb1 0.200 0.000 0.362 (multiplicity 4)
Th1 0.056 0.500 0.703 (multiplicity 4)
Th2 0.163 0.500 0.077 (multiplicity 4)
Ru1 0.029 0.000 0.888 (multiplicity 4)
Ru2 0.121 0.000 0.575 (multiplicity 4)

Properties
Density ... 11186 kg/m3
Final energy ... -7.970 eV per atom
DOS(E_F) ... 18.1 states/eV per cell
ΔH_f (0 K) ... -365.9 meV per atom

=====

(3)
A plane-wave DFT calculation with GGA-PBE was carried out for a relaxed structure of LiLaLuIr.

abc: 7.075 7.075 7.075
angles: 90.00 90.00 90.00
Space group F-43m (No. 216)
Symmetry-distinct sites (fractional):
Li1 0.000 0.000 0.000 (multiplicity 4)
La1 0.250 0.250 0.250 (multiplicity 4)
Lu1 0.250 0.250 0.750 (multiplicity 4)
Ir1 0.000 0.000 0.500 (multiplicity 4)

Properties
Density ... 9623 kg/m3
Final energy ... -5.543 eV per atom
DOS(E_F) ... 12.0 states/eV per cell
ΔH_f (0 K) ... -487.6 meV per atom

=====

(4)
A plane-wave DFT calculation with GGA-PBE was carried out for a relaxed structure of BaPa2RhN4.

abc: 3.546 12.166 12.070
angles: 90.00 90.00 90.00
Space group Cmcm (No. 63)
Symmetry-distinct sites (fractional):
Ba1 0.000 0.099 0.250 (multiplicity 4)
Pa1 0.000 0.366 0.060 (multiplicity 8)
Rh1 0.000 0.166 0.750 (multiplicity 4)
N1 0.000 0.000 0.000 (multiplicity 4)
N2 0.000 0.259 0.591 (multiplicity 8)
N3 0.000 0.429 0.250 (multiplicity 4)

Properties
Density ... 9674 kg/m3
Final energy ... -8.869 eV per atom
ΔE_f (raw) ... -9.38 eV/f.u.
DOS(E_F) ... 7.3 states/eV per cell

=====

(5)
A plane-wave DFT calculation with GGA-PBE was carried out for a relaxed structure of Sm2GaAu.

abc: 5.163 3.644 10.438
angles: 90.00 90.00 90.00
Space group Pmma (No. 51)
Symmetry-distinct sites (fractional):
Sm1 0.250 0.000 0.116 (multiplicity 2)
Sm2 0.250 0.000 0.622 (multiplicity 2)
Ga1 0.250 0.500 0.865 (multiplicity 2)
Au1 0.250 0.500 0.354 (multiplicity 2)

Properties
Density ... 9596 kg/m3
Final energy ... -4.610 eV per atom
DOS(E_F) ... 5.8 states/eV per cell
ΔH_f (0 K) ... -673.9 meV per atom

=====

(6)
A plane-wave DFT calculation with GGA-PBE was carried out for a relaxed structure of KBa3Ga.

abc: 6.705 6.705 6.705
angles: 90.00 90.00 90.00
Space group Pm-3m (No. 221)
Symmetry-distinct sites (fractional):
K1 0.000 0.000 0.000 (multiplicity 1)
Ba1 0.000 0.500 0.500 (multiplicity 3)
Ga1 0.500 0.500 0.500 (multiplicity 1)

Properties
Density ... 2869 kg/m3
Final energy ... -2.035 eV per atom
DOS(E_F) ... 8.9 states/eV per cell
E above lowest polymorph ... 0 meV/atom
ΔH_f (0 K) ... -56.8 meV per atom

=====

(7)
A plane-wave DFT calculation with GGA-PBE was carried out for a relaxed structure of Ce2Hg3Bi3.

abc: 4.757 5.086 9.246
angles: 90.00 90.00 90.00
Space group Pmmm (No. 47)
Symmetry-distinct sites (fractional):
Ce1 0.000 0.000 0.249 (multiplicity 2)
Hg1 0.000 0.500 0.500 (multiplicity 1)
Hg2 0.500 0.500 0.262 (multiplicity 2)
Bi1 0.000 0.500 0.000 (multiplicity 1)
Bi2 0.500 0.000 0.000 (multiplicity 1)
Bi3 0.500 0.000 0.500 (multiplicity 1)

Properties
Density ... 11201 kg/m3
Final energy ... -3.489 eV per atom
DOS(E_F) ... 12.2 states/eV per cell
ΔH_f (0 K) ... -436.9 meV per atom

=====

(8)
A plane-wave DFT calculation with GGA-PBE was carried out for a relaxed structure of EuVIr2.

abc: 3.034 3.034 7.563
angles: 90.00 90.00 90.00
Space group P4/mmm (No. 123)
Symmetry-distinct sites (fractional):
Eu1 0.000 0.000 0.000 (multiplicity 1)
V1 0.000 0.000 0.500 (multiplicity 1)
Ir1 0.500 0.500 0.306 (multiplicity 2)

Properties
Density ... 14012 kg/m3
Final energy ... -9.596 eV per atom
DOS(E_F) ... 5.4 states/eV per cell
ΔH_f (0 K) ... -317.5 meV per atom

=====

(9)
A plane-wave DFT calculation with GGA-PBE was carried out for a relaxed structure of MgBe2W.

abc: 2.751 2.751 6.776
angles: 90.00 90.00 90.00
Space group P4mm (No. 99)
Symmetry-distinct sites (fractional):
Mg1 0.000 0.000 0.000 (multiplicity 1)
Be1 0.000 0.000 0.582 (multiplicity 1)
Be2 0.500 0.500 0.724 (multiplicity 1)
W1 0.500 0.500 0.332 (multiplicity 1)

Properties
Density ... 7326 kg/m3
Final energy ... -5.231 eV per atom
DOS(E_F) ... 1.8 states/eV per cell
ΔH_f (0 K) ... 268.8 meV per atom

=====

(10)
A plane-wave DFT calculation with GGA-PBE was carried out for a relaxed structure of CrCd4Fe.

abc: 7.875 7.875 7.875
angles: 90.00 90.00 90.00
Space group F-43m (No. 216)
Symmetry-distinct sites (fractional):
Cr1 0.000 0.000 0.000 (multiplicity 4)
Cd1 0.125 0.125 0.375 (multiplicity 16)
Fe1 0.250 0.250 0.750 (multiplicity 4)

Properties
Density ... 7583 kg/m3
Final energy ... -3.026 eV per atom
DOS(E_F) ... 27.5 states/eV per cell
ΔH_f (0 K) ... 598.1 meV per atom

=====

(11)
A plane-wave DFT calculation with GGA-PBE was carried out for a relaxed structure of Ac6Ir2RhAu.

abc: 7.623 7.625 8.265
angles: 90.04 117.45 119.93
Space group P1 (No. 1)
Symmetry-distinct sites (fractional):
Ac1 0.000 0.000 0.000 (multiplicity 1)
Ac2 0.001 0.791 0.487 (multiplicity 1)
Ac3 0.349 0.477 0.487 (multiplicity 1)
Ac4 0.387 0.654 0.001 (multiplicity 1)
Ac5 0.654 0.267 0.000 (multiplicity 1)
Ac6 0.663 0.139 0.487 (multiplicity 1)
Ir1 0.494 0.881 0.722 (multiplicity 1)
Ir2 0.503 0.385 0.236 (multiplicity 1)
Rh1 0.862 0.065 0.273 (multiplicity 1)
Au1 0.868 0.567 0.783 (multiplicity 1)

Properties
Density ... 9641 kg/m3
Final energy ... -5.927 eV per atom
DOS(E_F) ... 6.1 states/eV per cell
ΔH_f (0 K) ... -626.7 meV per atom

=====

(12)
A plane-wave DFT calculation with GGA-PBE was carried out for a relaxed structure of Zr3ReC.

abc: 4.494 4.494 4.494
angles: 90.00 90.00 90.00
Space group Pm-3m (No. 221)
Symmetry-distinct sites (fractional):
Zr1 0.000 0.000 0.500 (multiplicity 3)
Re1 0.500 0.500 0.500 (multiplicity 1)
C1 0.000 0.000 0.000 (multiplicity 1)

Properties
Density ... 8635 kg/m3
Final energy ... -9.586 eV per atom
DOS(E_F) ... 2.9 states/eV per cell
E above lowest polymorph ... 0 meV/atom
ΔH_f (0 K) ... -123.1 meV per atom

=====

(13)
A plane-wave DFT calculation with GGA-PBE was carried out for a relaxed structure of LaMgGa.

abc: 6.845 4.732 9.368
angles: 90.00 90.00 90.00
Space group Pnma (No. 62)
Symmetry-distinct sites (fractional):
La1 0.152 0.250 0.087 (multiplicity 4)
Mg1 0.124 0.250 0.421 (multiplicity 4)
Ga1 0.080 0.250 0.736 (multiplicity 4)

Properties
Density ... 5098 kg/m3
Final energy ... -3.442 eV per atom
DOS(E_F) ... 7.8 states/eV per cell
ΔH_f (0 K) ... -259.5 meV per atom

=====

(14)
A plane-wave DFT calculation with GGA-PBE was carried out for a relaxed structure of TmLuSnHg.

abc: 7.372 7.372 7.372
angles: 90.00 90.00 90.00
Space group F-43m (No. 216)
Symmetry-distinct sites (fractional):
Tm1 0.000 0.000 0.000 (multiplicity 4)
Lu1 0.000 0.000 0.500 (multiplicity 4)
Sn1 0.250 0.250 0.250 (multiplicity 4)
Hg1 0.250 0.250 0.750 (multiplicity 4)

Properties
Density ... 10995 kg/m3
Final energy ... -3.819 eV per atom
DOS(E_F) ... 13.2 states/eV per cell
ΔH_f (0 K) ... -494.6 meV per atom

=====

(15)
A plane-wave DFT calculation with GGA-PBE was carried out for a relaxed structure of Ce4Ho3ErTe8.

abc: 8.7286 8.7286 22.0787
angles: 90.00 90.00 120.00
Space group R-3m (No. 166, hexagonal axes)
Symmetry-distinct sites (fractional):
Ce1 0.0000 0.0000 0.0000 (multiplicity 3)
Ce2 0.0000 0.5000 0.0000 (multiplicity 9)
Ho1 0.0000 0.5000 0.5000 (multiplicity 9)
Er1 0.0000 0.0000 0.5000 (multiplicity 3)
Te1 0.0000 0.0000 0.2456 (multiplicity 6)
Te2 0.0007 0.5004 0.2455 (multiplicity 18)

Properties
Density ... 7671 kg/m3
Final energy ... -5.515 eV per atom
ΔE_f (raw) ... -21.07 eV/f.u.
DOS(E_F) ... 88.5 states/eV per cell

=====

(16)
A plane-wave DFT calculation with GGA-PBE was carried out for a relaxed structure of Rb3Ag2Te3.

abc: 5.027 13.271 17.011
angles: 90.00 90.00 90.00
Space group Cmcm (No. 63)
Symmetry-distinct sites (fractional):
Rb1 0.000 0.079 0.110 (multiplicity 8)
Rb2 0.000 0.376 0.250 (multiplicity 4)
Ag1 0.000 0.222 0.593 (multiplicity 8)
Te1 0.000 0.315 0.750 (multiplicity 4)
Te2 0.000 0.365 0.040 (multiplicity 8)

Properties
Density ... 5004 kg/m3
Final energy ... -2.877 eV per atom
ΔE_f (raw) ... -4.99 eV/f.u.
DOS(E_F) ... 14.6 states/eV per cell

=====

(17)
A plane-wave DFT calculation with GGA-PBE was carried out for a relaxed structure of In2SnHgMo.

abc: 5.274 5.274 5.317
angles: 90.00 90.00 90.00
Space group P4/mmm (No. 123)
Symmetry-distinct sites (fractional):
In1 0.000 0.500 0.000 (multiplicity 2)
Sn1 0.000 0.000 0.500 (multiplicity 1)
Hg1 0.500 0.500 0.500 (multiplicity 1)
Mo1 0.500 0.500 0.000 (multiplicity 1)

Properties
Density ... 7241 kg/m3
Final energy ... -3.432 eV per atom
DOS(E_F) ... 3.3 states/eV per cell
ΔH_f (0 K) ... 690.5 meV per atom

=====

(18)
A plane-wave DFT calculation with GGA-PBE was carried out for a relaxed structure of Pm2Pr4Hg.

abc: 16.995 3.640 8.724
angles: 90.00 117.47 90.00
Space group C2/m (No. 12)
Symmetry-distinct sites (fractional):
Pm1 0.215 0.000 0.138 (multiplicity 4)
Pr1 0.083 0.000 0.701 (multiplicity 4)
Pr2 0.126 0.500 0.378 (multiplicity 4)
Hg1 0.000 0.000 0.000 (multiplicity 2)

Properties
Density ... 7313 kg/m3
Final energy ... -4.147 eV per atom
DOS(E_F) ... 17.2 states/eV per cell
ΔH_f (0 K) ... -15.0 meV per atom

=====

(19)
A plane-wave DFT calculation with GGA-PBE was carried out for a relaxed structure of Pr2HoCuSe5.

abc: 4.091 17.757 12.199
angles: 90.00 90.00 90.00
Space group Cmc2_1 (No. 36)
Symmetry-distinct sites (fractional):
Pr1 0.000 0.109 0.000 (multiplicity 4)
Pr2 0.000 0.123 0.623 (multiplicity 4)
Ho1 0.000 0.194 0.324 (multiplicity 4)
Cu1 0.000 0.435 0.768 (multiplicity 4)
Se1 0.000 0.043 0.374 (multiplicity 4)
Se2 0.000 0.288 0.986 (multiplicity 4)
Se3 0.000 0.312 0.661 (multiplicity 4)
Se4 0.000 0.356 0.315 (multiplicity 4)
Se5 0.000 0.499 0.094 (multiplicity 4)

Properties
Density ... 6784 kg/m3
Final energy ... -5.564 eV per atom
ΔE_f (raw) ... -14.42 eV/f.u.
DOS(E_F) ... 0.1 states/eV per cell

=====

(20)
A plane-wave DFT calculation with GGA-PBE was carried out for a relaxed structure of Ba2Zn3Cd4Ga.

abc: 4.753 4.753 11.505
angles: 90.00 90.00 90.00
Space group P-4m2 (No. 115)
Symmetry-distinct sites (fractional):
Ba1 0.000 0.500 0.245 (multiplicity 2)
Zn1 0.000 0.000 0.000 (multiplicity 1)
Zn2 0.000 0.500 0.633 (multiplicity 2)
Cd1 0.000 0.000 0.500 (multiplicity 1)
Cd2 0.000 0.500 0.873 (multiplicity 2)
Cd3 0.500 0.500 0.500 (multiplicity 1)
Ga1 0.500 0.500 0.000 (multiplicity 1)

Properties
Density ... 6326 kg/m3
Final energy ... -1.664 eV per atom
DOS(E_F) ... 6.9 states/eV per cell
ΔH_f (0 K) ... -228.6 meV per atom

=====

(21)
A plane-wave DFT calculation with GGA-PBE was carried out for a relaxed structure of CaNdAl3O7.

abc: 10.984 11.154 5.160
angles: 90.00 90.00 90.00
Space group Cmm2 (No. 35)
Symmetry-distinct sites (fractional):
Ca1 0.159 0.000 0.000 (multiplicity 4)
Nd1 0.000 0.338 0.970 (multiplicity 4)
Al1 0.000 0.142 0.523 (multiplicity 4)
Al2 0.146 0.500 0.442 (multiplicity 4)
Al3 0.250 0.250 0.476 (multiplicity 4)
O1 0.000 0.000 0.668 (multiplicity 2)
O2 0.000 0.145 0.185 (multiplicity 4)
O3 0.000 0.500 0.295 (multiplicity 2)
O4 0.123 0.218 0.676 (multiplicity 8)
O5 0.137 0.500 0.781 (multiplicity 4)
O6 0.213 0.375 0.282 (multiplicity 8)

Properties
Density ... 3964 kg/m3
Final energy ... -7.534 eV per atom
ΔE_f (raw) ... -37.70 eV/f.u.
DOS(E_F) ... 0.0 states/eV per cell

=====

(22)
A plane-wave DFT calculation with GGA-PBE was carried out for a relaxed structure of Zr6Hg5Bi.

abc: 4.541 8.561 7.171
angles: 90.00 108.36 90.00
Space group P2/m (No. 10)
Symmetry-distinct sites (fractional):
Zr1 0.000 0.247 0.000 (multiplicity 2)
Zr2 0.332 0.246 0.664 (multiplicity 4)
Hg1 0.166 0.000 0.333 (multiplicity 2)
Hg2 0.174 0.500 0.348 (multiplicity 2)
Hg3 0.500 0.000 0.000 (multiplicity 1)
Bi1 0.500 0.500 0.000 (multiplicity 1)

Properties
Density ... 11042 kg/m3
Final energy ... -4.913 eV per atom
DOS(E_F) ... 10.5 states/eV per cell
E above lowest polymorph ... 2 meV/atom
ΔH_f (0 K) ... -189.3 meV per atom

=====

(23)
A plane-wave DFT calculation with GGA-PBE was carried out for a relaxed structure of LiSiAs2.

abc: 3.821 4.705 7.678
angles: 90.00 90.00 90.00
Space group Cmmm (No. 65)
Symmetry-distinct sites (fractional):
Li1 0.000 0.000 0.000 (multiplicity 2)
Si1 0.000 0.000 0.500 (multiplicity 2)
As1 0.000 0.500 0.254 (multiplicity 4)

Properties
Density ... 4448 kg/m3
Final energy ... -4.056 eV per atom
ΔE_f (raw) ... 0.41 eV/f.u.
DOS(E_F) ... 4.0 states/eV per cell